Density functional theory data (GGA-PBE) for a relaxed structure of Pr2Sn5Pd3.

Geometry as extended XYZ:
```
20
Lattice="4.571 0.000 -0.779 0.000 7.460 0.000 -0.032 0.000 13.621" Properties=species:S:1:pos:R:3 pbc="T T T"
Pr 2.390 1.862 0.225
Pr 3.759 1.786 8.257
Pr 0.781 5.516 4.585
Pr 2.149 5.592 12.617
Sn 4.000 5.635 9.671
Sn 0.540 1.905 3.171
Sn 2.722 6.593 2.172
Sn 3.239 0.131 5.208
Sn 3.207 3.254 5.018
Sn 4.319 0.631 11.548
Sn 1.818 2.863 10.671
Sn 1.300 3.861 7.634
Sn 0.220 4.361 1.294
Sn 1.333 6.984 7.824
Pd 0.231 7.210 1.357
Pd 1.001 1.631 5.878
Pd 1.776 0.099 10.429
Pd 3.538 5.361 6.964
Pd 2.763 3.829 2.414
Pd 4.309 3.480 11.486
```

Computed properties:
Formation energy   -0.7129 eV per atom
Excess energy over the best structure of this formula in the dataset   0 meV/atom



Density functional theory data (GGA-PBE) for a relaxed structure of Mg3BeI.

Geometry as extended XYZ:
```
5
Lattice="5.621 0.000 0.000 0.000 5.621 0.000 0.000 0.000 5.621" Properties=species:S:1:pos:R:3 pbc="T T T"
Mg 0.000 2.811 0.000
Mg 2.811 0.000 0.000
Mg 0.000 0.000 2.811
I 0.000 0.000 0.000
Be 2.811 2.811 2.811
```

Computed properties:
Uncorrected formation energy   1124 meV/atom
Excess energy over the best structure of this formula in the dataset   1012 meV/atom



Magnetic moment? In order: 0.0000 0.0000 μB/atom.